AcHoCoRu after structural relaxation. Source: the Alexandria database, functional PBE.

Results
Raw total energy: -6.263 eV/atom
M_tot: 0.24 μB per atom
D(E_F): 4.35 states/eV/cell
DFT formation energy: 0.4 kJ per mole of atoms

```
4
Lattice="0.000 3.519 3.519 3.519 0.000 3.519 3.519 3.519 0.000" Properties=species:S:1:pos:R:3 pbc="T T T"
Ac 0.000 0.000 0.000
Ho 3.519 3.519 3.519
Co 1.759 1.759 1.759
Ru 5.278 5.278 5.278
```